No. 1
Below is crystalline TlBi5Pb8 at its relaxed geometry, with properties calculated at the PBE-GGA level.

Cell: 9.795 9.795 9.810 Å, 90.00 90.00 90.00°
Space group I-4 (No. 82)
Asymmetric unit:
Tl1 0.000 0.000 0.000
Bi1 0.000 0.500 0.750
Bi2 0.122 0.257 0.369
Pb1 0.076 0.171 0.692
Pb2 0.089 0.335 0.034


No. 2
Below is crystalline CeLu2Tc at its relaxed geometry, with properties calculated at the PBE-GGA level.

Cell: 3.381 3.381 8.822 Å, 90.00 90.00 90.00°
Space group P4/mmm (No. 123)
Asymmetric unit:
Ce1 0.000 0.000 0.000
Lu1 0.500 0.500 0.316
Tc1 0.000 0.000 0.500

## Properties
- Offset from the most stable computed form: 0.0 meV/atom


No. 3
Below is crystalline TbNdPdAu at its relaxed geometry, with properties calculated at the PBE-GGA level.

Cell: 4.746 3.844 10.803 Å, 90.00 90.00 90.00°
Space group Amm2 (No. 38)
Asymmetric unit:
Tb1 0.000 0.000 0.000
Nd1 0.500 0.000 0.276
Pd1 0.500 0.000 0.549
Au1 0.000 0.000 0.719

## Properties
- Offset from the most stable computed form: 0.0 meV/atom


No. 4
Below is crystalline AcPmNiSn at its relaxed geometry, with properties calculated at the PBE-GGA level.

Cell: 7.662 7.662 7.662 Å, 90.00 90.00 90.00°
Space group F-43m (No. 216)
Asymmetric unit:
Ac1 0.000 0.000 0.000
Pm1 0.000 0.000 0.500
Ni1 0.250 0.250 0.250
Sn1 0.250 0.250 0.750


| no. | calculated formation energy (eV per atom) |
| --- | --- |
| 1 | 0.041 |
| 2 | 0.004 |
| 3 | -0.844 |
| 4 | -0.307 |